Entry 1:
## MnOsRh3 (GGA-PBE)

Data for MnOsRh3 after structural relaxation.

```
MnOsRh3
1.0
4.365 0.000 0.000
0.000 4.365 0.000
0.000 0.000 4.365
Mn Os Rh
1 1 3
direct
0.000 0.000 0.000 Mn
0.500 0.500 0.500 Os
0.000 0.000 0.500 Rh
0.000 0.500 0.000 Rh
0.500 0.000 0.000 Rh
```

Calculated values
symmetry: Pm-3m (221)
excess energy over the best structure of this formula in the dataset: 0.00 eV/f.u.
formation energy: 1.4689 eV per atom

Entry 2:
## Pm6MgAg (GGA-PBE)

Data for Pm6MgAg after structural relaxation.

```
Pm6MgAg
1.0
-2.602 2.602 9.153
2.602 -2.602 9.153
2.602 2.602 -9.153
Pm Mg Ag
6 1 1
direct
0.111 0.611 0.500 Pm
0.248 0.248 0.000 Pm
0.389 0.889 0.500 Pm
0.611 0.111 0.500 Pm
0.752 0.752 0.000 Pm
0.889 0.389 0.500 Pm
0.000 0.000 0.000 Mg
0.500 0.500 0.000 Ag
```

Calculated values
symmetry: I4/mmm (139)
formation energy: -0.0606 eV per atom

Entry 3:
## LaW (GGA-PBE)

Data for LaW after structural relaxation.

```
LaW
1.0
1.441 -6.139 0.000
1.441 6.139 0.000
0.000 0.000 4.969
La W
2 2
direct
0.066 0.934 0.750 La
0.934 0.066 0.250 La
0.293 0.707 0.750 W
0.707 0.293 0.250 W
```

Calculated values
symmetry: Cmcm (63)
excess energy over the best structure of this formula in the dataset: 0.94 eV/f.u.
formation energy: 0.8162 eV per atom

Entry 4:
## Hg4SbPb7 (GGA-PBE)

Data for Hg4SbPb7 after structural relaxation.

```
Hg4SbPb7
1.0
4.732 -2.728 0.000
4.732 2.728 0.000
-0.011 0.000 13.674
Hg Sb Pb
4 1 7
direct
0.167 0.167 0.086 Hg
0.167 0.167 0.327 Hg
0.833 0.833 0.673 Hg
0.833 0.833 0.914 Hg
0.500 0.500 0.500 Sb
0.167 0.167 0.579 Pb
0.167 0.167 0.840 Pb
0.500 0.500 0.000 Pb
0.500 0.500 0.260 Pb
0.500 0.500 0.740 Pb
0.833 0.833 0.160 Pb
0.833 0.833 0.421 Pb
```

Calculated values
symmetry: C2/m (12)
E_form (uncorrected): 29 meV per atom
excess energy over the best structure of this formula in the dataset: 0.00 eV/f.u.

Entry 5:
## TiGa3 (GGA-PBE)

Data for TiGa3 after structural relaxation.

```
TiGa3
1.0
-1.494 4.595 2.402
1.494 -4.595 2.402
1.494 4.595 -2.402
Ti Ga
1 3
direct
0.000 0.000 0.000 Ti
0.063 0.318 0.744 Ga
0.479 0.979 0.500 Ga
0.574 0.318 0.256 Ga
```

Calculated values
symmetry: Imm2 (44)
formation energy: -0.2876 eV per atom

Entry 6:
## Ba2Ge7Pt12 (GGA-PBE)

Data for Ba2Ge7Pt12 after structural relaxation.

```
Ba2Ge7Pt12
1.0
10.283 0.000 0.000
-5.142 8.906 0.000
0.000 0.000 4.154
Ba Ge Pt
2 7 12
direct
0.000 0.000 0.000 Ba
0.333 0.667 0.500 Ba
0.049 0.457 0.000 Ge
0.266 0.242 0.500 Ge
0.408 0.951 0.000 Ge
0.543 0.592 0.000 Ge
0.667 0.333 0.000 Ge
0.758 0.024 0.500 Ge
0.976 0.734 0.500 Ge
0.029 0.273 0.500 Pt
0.131 0.744 0.000 Pt
0.244 0.971 0.500 Pt
0.256 0.387 0.000 Pt
0.391 0.191 0.000 Pt
0.543 0.428 0.500 Pt
0.572 0.116 0.500 Pt
0.613 0.869 0.000 Pt
0.727 0.756 0.500 Pt
0.800 0.609 0.000 Pt
0.809 0.200 0.000 Pt
0.884 0.457 0.500 Pt
```

Calculated values
symmetry: P-6 (174)
formation energy: -0.5448 eV per atom

Entry 7:
## ThNpCo10 (GGA-PBE)

Data for ThNpCo10 after structural relaxation.

```
ThNpCo10
1.0
4.009 0.000 0.000
0.000 4.886 0.000
0.000 0.000 8.449
Th Np Co
1 1 10
direct
0.000 0.000 0.000 Th
0.000 0.500 0.500 Np
0.000 0.000 0.346 Co
0.000 0.000 0.654 Co
0.000 0.500 0.189 Co
0.000 0.500 0.811 Co
0.500 0.000 0.500 Co
0.500 0.252 0.255 Co
0.500 0.252 0.745 Co
0.500 0.500 0.000 Co
0.500 0.748 0.255 Co
0.500 0.748 0.745 Co
```

Calculated values
symmetry: Pmmm (47)
formation energy: -0.0877 eV per atom

Entry 8:
## RbTl2VPd (GGA-PBE)

Data for RbTl2VPd after structural relaxation.

```
RbTl2VPd
1.0
6.119 0.000 0.000
0.000 6.119 0.000
0.000 0.000 5.405
Rb Tl V Pd
1 2 1 1
direct
0.000 0.000 0.000 Rb
0.000 0.500 0.000 Tl
0.500 0.000 0.000 Tl
0.000 0.000 0.500 V
0.500 0.500 0.500 Pd
```

Calculated values
symmetry: P4/mmm (123)
formation energy: 1.7410 eV per atom

Entry 9:
## Sr3Sb (GGA-PBE)

Data for Sr3Sb after structural relaxation.

```
Sr3Sb
1.0
7.607 0.000 0.000
-3.803 6.588 0.000
0.000 0.000 6.114
Sr Sb
6 2
direct
0.172 0.345 0.250 Sr
0.172 0.828 0.250 Sr
0.345 0.172 0.750 Sr
0.655 0.828 0.250 Sr
0.828 0.172 0.750 Sr
0.828 0.655 0.750 Sr
0.333 0.667 0.750 Sb
0.667 0.333 0.250 Sb
```

Calculated values
symmetry: P6_3/mmc (194)
E_form (uncorrected): -447 meV per atom
excess energy over the best structure of this formula in the dataset: 0.55 eV/f.u.

Entry 10:
## Tb4Mg3Tl (GGA-PBE)

Data for Tb4Mg3Tl after structural relaxation.

```
Tb4Mg3Tl
1.0
3.796 0.000 0.000
0.000 3.796 0.000
0.000 0.000 15.253
Tb Mg Tl
4 3 1
direct
0.000 0.000 0.127 Tb
0.000 0.000 0.372 Tb
0.000 0.000 0.628 Tb
0.000 0.000 0.873 Tb
0.500 0.500 0.000 Mg
0.500 0.500 0.247 Mg
0.500 0.500 0.753 Mg
0.500 0.500 0.500 Tl
```

Calculated values
symmetry: P4/mmm (123)
formation energy: -0.1582 eV per atom

Entry 11:
## ZnCr2Hg (GGA-PBE)

Data for ZnCr2Hg after structural relaxation.

```
ZnCr2Hg
1.0
4.634 -1.508 0.000
4.634 1.508 0.000
-1.241 0.000 4.420
Zn Cr Hg
1 2 1
direct
0.000 0.000 0.000 Zn
0.255 0.255 0.832 Cr
0.745 0.745 0.168 Cr
0.500 0.500 0.500 Hg
```

Calculated values
symmetry: C2/m (12)
excess energy over the best structure of this formula in the dataset: 1.02 eV/f.u.
formation energy: 0.5049 eV per atom

Entry 12:
## SrAc2SbO6 (GGA-PBE)

Data for SrAc2SbO6 after structural relaxation.

```
SrAc2SbO6
1.0
5.682 0.000 0.000
0.000 5.682 0.000
0.000 0.000 5.772
Sr Ac Sb O
1 2 1 6
direct
0.000 0.000 0.000 Sr
0.000 0.500 0.451 Ac
0.500 0.000 0.451 Ac
0.500 0.500 0.043 Sb
0.000 0.000 0.584 O
0.267 0.267 0.194 O
0.267 0.733 0.194 O
0.500 0.500 0.665 O
0.733 0.267 0.194 O
0.733 0.733 0.194 O
```

Calculated values
symmetry: P4mm (99)
E_form (uncorrected): -2491 meV per atom

Entry 13:
## AsH (GGA-PBE)

Data for AsH after structural relaxation.

```
AsH
1.0
0.000 4.878 5.097
2.447 0.000 5.097
2.447 4.878 0.000
As H
4 4
direct
0.002 0.002 0.748 As
0.252 0.252 0.998 As
0.748 0.748 0.002 As
0.998 0.998 0.252 As
0.170 0.580 0.170 H
0.420 0.830 0.420 H
0.580 0.170 0.580 H
0.830 0.420 0.830 H
```

Calculated values
symmetry: Fddd (70)
excess energy over the best structure of this formula in the dataset: 0.65 eV/f.u.

Entry 14:
## FeAsC2 (GGA-PBE)

Data for FeAsC2 after structural relaxation.

```
FeAsC2
1.0
-2.268 2.268 4.382
2.268 -2.268 4.382
2.268 2.268 -4.382
Fe As C
2 2 4
direct
0.000 0.000 0.000 Fe
0.750 0.250 0.500 Fe
0.250 0.750 0.500 As
0.500 0.500 0.000 As
0.106 0.625 0.981 C
0.375 0.356 0.481 C
0.644 0.125 0.019 C
0.875 0.894 0.519 C
```

Calculated values
symmetry: I-42d (122)
formation energy: 0.8646 eV per atom

Entry 15:
## TlV2I (GGA-PBE)

Data for TlV2I after structural relaxation.

```
TlV2I
1.0
0.000 3.347 3.347
3.347 0.000 3.347
3.347 3.347 0.000
Tl V I
1 2 1
direct
0.000 0.000 0.000 Tl
0.250 0.250 0.250 V
0.750 0.750 0.750 V
0.500 0.500 0.500 I
```

Calculated values
symmetry: Fm-3m (225)
E_form (uncorrected): 866 meV per atom
excess energy over the best structure of this formula in the dataset: 0.00 eV/f.u.

Entry 16:
## Si2P (GGA-PBE)

Data for Si2P after structural relaxation.

```
Si2P
1.0
1.712 -5.454 0.000
1.712 5.454 0.000
0.000 0.000 5.038
Si P
4 2
direct
0.008 0.992 0.750 Si
0.331 0.669 0.750 Si
0.669 0.331 0.250 Si
0.992 0.008 0.250 Si
0.331 0.669 0.250 P
0.669 0.331 0.750 P
```

Calculated values
symmetry: Cmcm (63)
E_form (uncorrected): 182 meV per atom
excess energy over the best structure of this formula in the dataset: 0.54 eV/f.u.

Entry 17:
## LaIr3 (GGA-PBE)

Data for LaIr3 after structural relaxation.

```
LaIr3
1.0
4.747 -1.464 0.000
4.747 1.464 0.000
-0.941 0.000 5.331
La Ir
1 3
direct
0.000 0.000 0.000 La
0.239 0.239 0.692 Ir
0.500 0.500 0.500 Ir
0.761 0.761 0.308 Ir
```

Calculated values
symmetry: C2/m (12)
formation energy: -0.0158 eV per atom

Entry 18:
## SrHgSb2 (GGA-PBE)

Data for SrHgSb2 after structural relaxation.

```
SrHgSb2
1.0
4.458 0.000 0.000
0.000 4.458 0.000
0.000 0.000 6.652
Sr Hg Sb
1 1 2
direct
0.000 0.000 0.000 Sr
0.000 0.000 0.500 Hg
0.500 0.500 0.211 Sb
0.500 0.500 0.789 Sb
```

Calculated values
symmetry: P4/mmm (123)
E_form (uncorrected): -374 meV per atom

Entry 19:
## NaCaSiCl2 (GGA-PBE)

Data for NaCaSiCl2 after structural relaxation.

```
NaCaSiCl2
1.0
5.257 0.000 0.000
0.000 5.257 0.000
0.000 0.000 5.786
Na Ca Si Cl
1 1 1 2
direct
0.000 0.000 0.000 Na
0.500 0.500 0.000 Ca
0.500 0.500 0.500 Si
0.000 0.500 0.500 Cl
0.500 0.000 0.500 Cl
```

Calculated values
symmetry: P4/mmm (123)
E_form (uncorrected): -322 meV per atom

Entry 20:
## Nd2Sm8Sc3 (GGA-PBE)

Data for Nd2Sm8Sc3 after structural relaxation.

```
Nd2Sm8Sc3
1.0
6.667 -5.718 0.000
6.667 5.718 0.000
-2.354 0.000 5.496
Nd Sm Sc
2 8 3
direct
0.183 0.183 0.337 Nd
0.817 0.817 0.663 Nd
0.083 0.083 0.770 Sm
0.112 0.580 0.352 Sm
0.364 0.364 0.888 Sm
0.420 0.888 0.648 Sm
0.580 0.112 0.352 Sm
0.636 0.636 0.112 Sm
0.888 0.420 0.648 Sm
0.917 0.917 0.230 Sm
0.237 0.763 0.000 Sc
0.500 0.500 0.500 Sc
0.763 0.237 0.000 Sc
```

Calculated values
symmetry: C2/m (12)
excess energy over the best structure of this formula in the dataset: 0.00 eV/f.u.
formation energy: 0.1814 eV per atom